LiCoNiO4: optimized geometry, PBE+U.

Structure (extended XYZ):
```
14
Lattice="5.794 -0.081 -0.013 0.129 5.794 0.013 -2.918 -2.901 4.080" Properties=species:S:1:pos:R:3 pbc="T T T"
O -0.023 2.986 1.894
O 3.028 -0.174 2.186
O 1.366 4.242 0.072
O 1.639 -1.430 4.008
O -0.068 -0.198 1.975
O 4.550 4.172 0.153
O -1.545 -1.360 3.928
O 3.073 3.010 2.106
Ni 0.000 0.000 0.000
Ni 1.438 -1.491 2.034
Li 2.962 2.856 0.000
Li -1.395 1.446 2.047
Co 0.064 2.897 0.007
Co -1.459 -1.451 2.040
```

Calculated values
Offset from the most stable computed form = 5.8 kJ/mol of atoms
Crystal system = orthorhombic
Total moment = 4.0 μB per cell